VASP calculation (GGA-PBE) on an optimized crystal structure of YOsSe4.

a b c (Å): 5.6275 5.6275 5.6275
angles (deg): 60.00 60.00 60.00
With the nearest neighbours (Å) after each atom.
Fractional positions:
Y 0.7500 0.7500 0.7500  12 Se 3.30, 4 Os 3.45
Os 0.0000 0.0000 0.0000  12 Se 3.30, 4 Y 3.45
Se 0.8786 0.3738 0.3738  6 Se 2.79-2.84
Se 0.3738 0.3738 0.8786  6 Se 2.79-2.84
Se 0.3738 0.8786 0.3738  6 Se 2.79-2.84
Se 0.3738 0.3738 0.3738  6 Se 2.79-2.84

Results
Formation energy without anion corrections, eV/atom: 0.69
Calculated volume, Å³ per cell: 126.02
Energy, eV/atom: -4.5822

---

VASP calculation (GGA-PBE) on an optimized crystal structure of HgTeN2O.

a b c (Å): 4.0433 4.0433 6.7304
angles (deg): 90.00 90.00 90.00
With the nearest neighbours (Å) after each atom.
Fractional positions:
Te 0.0000 0.0000 0.5000  4 O 2.86
Hg 0.0000 0.0000 0.0000  4 N 2.02
O 0.5000 0.5000 0.5000  4 Te 2.86
N 0.0000 0.5000 0.0000  2 Hg 2.02
N 0.5000 0.0000 0.0000  2 Hg 2.02

Results
Formation energy without anion corrections, eV/atom: 2.15
Calculated volume, Å³ per cell: 110.03
Energy, eV/atom: -2.8613

---

VASP calculation (GGA-PBE) on an optimized crystal structure of Nd2InPb3.

a b c (Å): 4.6427 4.8002 8.2369
angles (deg): 90.00 106.37 90.00
With the nearest neighbours (Å) after each atom.
Fractional positions:
Nd 0.1484 0.5000 0.2969  8 Pb 3.30-3.69, 2 In 3.36
Nd 0.8516 0.5000 0.7031  8 Pb 3.30-3.69, 2 In 3.36
In 0.0000 0.0000 0.0000  8 Pb 3.34-3.60, 4 Nd 3.36
Pb 0.3255 0.0000 0.6511  4 Pb 3.33-3.66, 6 Nd 3.36-3.69, 2 In 3.60
Pb 0.6745 0.0000 0.3489  4 Pb 3.33-3.66, 6 Nd 3.36-3.69, 2 In 3.60
Pb 0.5000 0.5000 0.0000  4 Nd 3.30, 4 In 3.34, 4 Pb 3.66

Results
Distance to the lowest polymorph of the same formula, meV/atom: 0
E_form, eV/atom: -0.4771
Calculated volume, Å³ per cell: 176.12
Energy, eV/atom: -4.3770

---

VASP calculation (GGA-PBE) on an optimized crystal structure of CuHgMo2.

a b c (Å): 9.7039 9.7039 9.7039
angles (deg): 16.72 16.72 16.72
With the nearest neighbours (Å) after each atom.
Fractional positions:
Cu 0.5032 0.5032 0.5032  3 Mo 2.73, 6 Cu 2.82, 3 Hg 2.87
Hg 0.7542 0.7542 0.7542  6 Hg 2.82, 3 Cu 2.87, 3 Mo 3.08
Mo 0.9965 0.9965 0.9965  9 Mo 2.82-2.90, 3 Hg 3.08
Mo 0.2461 0.2461 0.2461  3 Cu 2.73, 9 Mo 2.82-2.90

Results
E_form, eV/atom: 0.4417
Calculated volume, Å³ per cell: 65.94
Energy, eV/atom: -6.0733

---

VASP calculation (GGA-PBE) on an optimized crystal structure of SiAgP2.

a b c (Å): 5.6951 5.6951 5.6951
angles (deg): 145.45 136.88 56.39
With the nearest neighbours (Å) after each atom.
Fractional positions:
Ag 0.2500 0.7500 0.5000  4 Si 2.69, 4 P 2.69
P 0.9187 0.9187 0.0000  2 Si 2.39
P 0.5813 0.5813 0.0000  2 Si 2.39
Si 0.7500 0.2500 0.5000  4 P 2.39

Results
Formation energy without anion corrections, eV/atom: 0.42
Calculated volume, Å³ per cell: 71.06
Energy, eV/atom: -4.3585

---

VASP calculation (GGA-PBE) on an optimized crystal structure of Ta2AlSi.

a b c (Å): 4.0781 2.8555 5.7786
angles (deg): 74.72 90.00 90.00
With the nearest neighbours (Å) after each atom.
Fractional positions:
Si 0.5000 0.7500 0.7500  4 Ta 2.65, 2 Si 2.86, 2 Al 2.87
Al 0.5000 0.2500 0.2500  8 Ta 2.75-2.99, 2 Al 2.86, 2 Si 2.87
Ta 0.0000 0.9699 0.9958  2 Si 2.65, 2 Al 2.75, 4 Ta 2.86-2.87
Ta 0.0000 0.5301 0.5042  2 Si 2.65, 2 Al 2.75, 4 Ta 2.86-2.87

Results
Distance to the lowest polymorph of the same formula, meV/atom: 28
Formation energy without anion corrections, eV/atom: -0.20
Calculated volume, Å³ per cell: 64.91
Energy, eV/atom: -8.4193